# 1
RbSmCu2O4 (PBE, optimized geometry); E_tot = -46.666 eV per cell; space-group type = P4/mmm, No. 123; calculated volume = 116.55 Å³/cell
1.0
3.9201 0.0000 0.0000
0.0000 3.9201 0.0000
0.0000 0.0000 7.5843
Rb Sm Cu O
1 1 2 4
direct
0.0000 0.0000 0.0000
0.0000 0.0000 0.5000
0.5000 0.5000 0.2890
0.5000 0.5000 0.7110
0.0000 0.5000 0.3047
0.0000 0.5000 0.6953
0.5000 0.0000 0.3047
0.5000 0.0000 0.6953



# 2
Rb2SmCu2O4 (PBE, optimized geometry); E_tot = -47.842 eV per cell; space-group type = C2/m, No. 12; calculated volume = 153.69 Å³/cell
1.0
6.8150 -1.7696 0.0000
6.8150 1.7696 0.0000
-1.9830 0.0000 6.3720
Rb Sm Cu O
2 1 2 4
direct
0.1306 0.1306 0.0568
0.8694 0.8694 0.9432
0.0000 0.0000 0.5000
0.3202 0.3202 0.4759
0.6798 0.6798 0.5241
0.1891 0.1891 0.6522
0.4668 0.4668 0.7044
0.5332 0.5332 0.2956
0.8109 0.8109 0.3478



# 3
RbSm2CuO4 (PBE, optimized geometry); E_tot = -106.756 eV per cell; space-group type = Cmcm, No. 63; calculated volume = 260.70 Å³/cell
1.0
1.7860 -6.0536 0.0000
1.7860 6.0536 0.0000
0.0000 0.0000 12.0562
Rb Sm Cu O
2 4 2 8
direct
0.1000 0.9000 0.7500
0.9000 0.1000 0.2500
0.3672 0.6328 0.5599
0.3672 0.6328 0.9401
0.6328 0.3672 0.0599
0.6328 0.3672 0.4401
0.1747 0.8253 0.2500
0.8253 0.1747 0.7500
0.0000 0.0000 0.0000
0.0000 0.0000 0.5000
0.2524 0.7476 0.0982
0.2524 0.7476 0.4018
0.4157 0.5843 0.7500
0.5843 0.4157 0.2500
0.7476 0.2524 0.5982
0.7476 0.2524 0.9018



Question: The lowest calculated volume belongs to which entry?
Answer: RbSmCu2O4